DFT (PBE-GGA) results for an optimized crystal structure of Pm2ZnSi2.

POSCAR file:
```
Pm2ZnSi2
1.0
-0.6766 -1.7080 -3.8638
1.1846 -5.7535 -0.0327
-9.1326 -3.0290 0.5696
Si Pm Zn
4 4 2
direct
0.6130 0.8866 0.8874
0.0370 0.3392 0.5868
0.3870 0.1134 0.1126
0.9630 0.6607 0.4132
0.2880 0.7731 0.6510
0.1092 0.6947 0.0868
0.8908 0.3053 0.9132
0.7120 0.2269 0.3491
0.5513 0.2059 0.6914
0.4487 0.7941 0.3086
```

## Properties
**Formation energy from raw total energies**: -651 meV/atom